18
Lattice="3.756 2.168 6.126 -3.756 2.168 6.126 0.000 -4.337 6.126" Properties=species:S:1:pos:R:3 comment="YTl2Co3F12 (PBE with a Hubbard U, optimized geometry)" vol_a3_per_fu=299 mass_density_g_cm3=5.01 e_tot_ev_per_atom=-5.1578 sg=R-3m total_magnetization_mub_per_fu=10.001 pbc="T T T"
Y 0.000 0.000 0.000
Tl 0.000 0.000 7.185
Tl 0.000 0.000 11.191
Co -3.756 0.000 9.188
Co -1.878 1.084 3.063
Co 1.878 1.084 3.063
F -2.290 -1.322 8.959
F 0.000 -2.422 5.057
F -2.098 1.211 5.057
F 0.000 -2.644 9.418
F -2.290 1.322 9.418
F -2.098 -1.211 13.319
F 2.098 1.211 5.057
F 2.290 -1.322 8.959
F 0.000 2.644 8.959
F 2.098 -1.211 13.319
F 0.000 2.422 13.319
F 2.290 1.322 9.418